VASP calculation (PBE+U) on crystalline Li4V3Ni3W2O16 at its relaxed geometry.

Cell and atoms, written as extended XYZ:
```
28
Lattice="5.9550 -0.0054 -0.0027 2.9260 5.1866 -0.0027 0.0214 0.0125 9.7154" Properties=species:S:1:pos:R:3 pbc="T T T"
Li 5.9023 3.4434 0.9201
Li 0.0229 0.0134 0.1246
Li 8.8837 5.1828 4.9535
Li 2.9533 1.7229 5.7714
V 4.5152 4.3311 7.6003
V 5.9925 1.7990 7.6003
V 1.5540 0.9066 2.6903
Ni 7.3845 4.3081 7.6528
Ni 2.9385 3.4191 2.8044
Ni 4.4225 0.8753 2.8044
W 5.9381 3.4643 4.9447
W 3.0210 1.7624 0.1123
O 4.5054 4.3090 3.9748
O 4.6276 2.6998 6.2852
O 5.8857 3.4337 8.6837
O 0.0379 0.0221 6.7979
O 0.0828 0.0483 1.9708
O 5.9683 1.8013 3.9748
O 5.8951 4.9769 6.2968
O 7.2337 2.6825 6.2968
O 1.5931 0.9294 8.8284
O 7.3670 4.2979 4.0098
O 1.6006 2.4272 1.4512
O 2.9007 0.1988 1.4512
O 2.8207 1.6456 3.7980
O 2.9959 3.4265 8.8770
O 4.2401 2.4737 1.4590
O 4.4572 0.9216 8.8770
```

Summary:
E = -6.573 eV per atom
Magnetic moment = 0.393 μB/atom